Entry from the Alexandria database: Sc2NiO after structural relaxation (PBE+U).

## Properties
size of the total moment: 0.000 μB/atom
electronic total energy: -0.227 Ha/atom

extended XYZ file:
```
8
Lattice="-2.900 2.900 3.907 2.900 -2.900 3.907 2.900 2.900 -3.907" Properties=species:S:1:pos:R:3 pbc="T T T"
Sc 4.349 1.112 -0.977
Sc 1.112 1.450 0.977
Sc -1.450 1.787 2.930
Sc 1.787 1.450 4.884
Ni 2.900 0.000 1.954
Ni 0.000 0.000 3.907
O 0.000 0.000 0.000
O 0.000 2.900 1.954
```